Entry 1:
VASP calculation (PBE) on a geometry-optimized Al2ZnCl structure.

```
Al2ZnCl
1.0
-1.175 -6.616 2.327
4.176 2.278 -2.250
2.013 0.386 2.174
Zn Al Cl
1 2 1
Direct
0.500 0.500 0.000 Zn
0.000 0.000 0.000 Al
0.500 0.000 0.500 Al
0.000 0.500 0.500 Cl
```

Raw formation energy (eV/atom): -0.049
N(E_F) (states/eV/f.u.): 1.09
Distance to the lowest polymorph of the same formula (kJ per mole of atoms): 7.7

---

Entry 2:
VASP calculation (PBE) on a geometry-optimized AlZnCl structure.

```
AlZnCl
1.0
-2.430 -2.546 -3.126
4.677 0.370 -0.392
0.343 -2.477 1.752
Zn Al Cl
1 1 1
Direct
0.333 0.667 0.668 Zn
0.000 0.000 0.165 Al
0.667 0.333 0.167 Cl
```

Raw formation energy (eV/atom): -0.010
N(E_F) (states/eV/f.u.): 0.78
Distance to the lowest polymorph of the same formula (kJ per mole of atoms): 18.0

---

Entry 3:
VASP calculation (PBE) on a geometry-optimized Al2ZnCl structure.

```
Al2ZnCl
1.0
-3.027 0.595 -0.115
1.181 -2.467 -1.430
-1.235 -4.864 7.372
Zn Al Cl
1 2 1
Direct
0.500 0.500 0.750 Zn
0.000 0.000 0.007 Al
0.000 0.000 0.493 Al
0.500 0.500 0.250 Cl
```

Raw formation energy (eV/atom): -0.026
N(E_F) (states/eV/f.u.): 1.43
Distance to the lowest polymorph of the same formula (kJ per mole of atoms): 9.9